## PmZn7Pd5 (PBE)

Data for a relaxed PmZn7Pd5 crystal.

Structure (POSCAR):
```
PmZn7Pd5
1.0
-4.364 -2.702 -1.955
-1.034 -6.065 2.978
-5.837 1.517 3.217
Pm Zn Pd
1 7 5
direct
0.011 0.989 0.989
0.654 0.346 0.346
0.353 0.647 0.647
0.990 0.360 0.661
0.990 0.661 0.360
0.275 0.225 0.225
0.503 0.784 0.210
0.503 0.210 0.784
0.499 0.010 0.488
0.002 0.010 0.488
0.499 0.488 0.010
0.002 0.488 0.010
0.719 0.781 0.781
```

Values from the calculation:
The value obtained for the calculated formation energy is -0.480 eV/atom. The density of states at the Fermi level comes out at 0.388 states/eV/atom. The total energy is -3.529 eV per atom.